1.
PuN: optimized geometry, PBEsol.

abc: 3.424 3.424 3.424
angles: 60.00 60.00 60.00
Atoms (fractional coordinates):
1 N 0.500 0.500 0.500
2 Pu 0.000 0.000 0.000

Output
Total moment   4.58 Bohr magnetons per cell
Space-group type   Fm-3m, No. 225
Formation energy from raw total energies   -1193 meV per atom
D(E_F)   5.40 states/eV/f.u.
Uncorrected energy   -13.0331 eV/atom


2.
Rb3ReN: optimized geometry, PBEsol.

abc: 5.621 5.621 5.621
angles: 90.00 90.00 90.00
Atoms (fractional coordinates):
1 Re 0.500 0.500 0.500
2 Rb 0.500 0.000 0.000
3 Rb 0.000 0.500 0.000
4 Rb 0.000 0.000 0.500
5 N 0.000 0.000 0.000

Output
Total moment   5.10 Bohr magnetons per cell
Space-group type   Pm-3m, No. 221
Formation energy from raw total energies   1757 meV per atom
D(E_F)   4.60 states/eV/f.u.
Uncorrected energy   -3.2295 eV/atom


3.
RbReS2N: optimized geometry, PBEsol.

abc: 6.462 5.861 5.861
angles: 90.00 90.00 90.00
Atoms (fractional coordinates):
1 S 0.000 0.000 0.500
2 S 0.000 0.500 0.000
3 Re 0.500 0.000 0.000
4 N 0.500 0.500 0.500
5 Rb 0.000 0.000 0.000

Output
Total moment   0.24 Bohr magnetons per cell
Space-group type   P4/mmm, No. 123
Formation energy from raw total energies   3333 meV per atom
D(E_F)   7.25 states/eV/f.u.
Uncorrected energy   -2.9970 eV/atom


4.
RbRh3N: optimized geometry, PBEsol.

abc: 4.196 4.196 4.196
angles: 90.00 90.00 90.00
Atoms (fractional coordinates):
1 N 0.000 0.000 0.000
2 Rb 0.500 0.500 0.500
3 Rh 0.500 0.000 0.000
4 Rh 0.000 0.500 0.000
5 Rh 0.000 0.000 0.500

Output
Total moment   0.00 Bohr magnetons per cell
Space-group type   Pm-3m, No. 221
Formation energy from raw total energies   673 meV per atom
D(E_F)   4.71 states/eV/f.u.
Uncorrected energy   -6.1206 eV/atom


5.
RbRhN2: optimized geometry, PBEsol.

abc: 4.132 4.132 4.132
angles: 60.00 60.00 60.00
Atoms (fractional coordinates):
1 N 0.750 0.750 0.750
2 N 0.250 0.250 0.250
3 Rb 0.000 0.000 0.000
4 Rh 0.500 0.500 0.500

Output
Total moment   0.00 Bohr magnetons per cell
Space-group type   Fm-3m, No. 225
Formation energy from raw total energies   1866 meV per atom
D(E_F)   2.10 states/eV/f.u.
Uncorrected energy   -4.6883 eV/atom


6.
RbRhN2: optimized geometry, PBEsol.

abc: 5.679 5.679 5.679
angles: 95.48 116.89 116.89
Atoms (fractional coordinates):
1 N 0.142 0.767 0.125
2 N 0.858 0.983 0.625
3 N 0.642 0.875 0.017
4 N 0.358 0.375 0.233
5 Rb 0.000 0.500 0.500
6 Rb 0.500 0.250 0.750
7 Rh 0.500 0.750 0.250
8 Rh 0.000 0.000 0.000

Output
Total moment   0.00 Bohr magnetons per cell
Space-group type   I-42d, No. 122
Formation energy from raw total energies   306 meV per atom
D(E_F)   2.28 states/eV/f.u.
Uncorrected energy   -6.2484 eV/atom


7.
RbRhSN2: optimized geometry, PBEsol.

abc: 3.947 3.947 4.998
angles: 90.00 90.00 90.00
Atoms (fractional coordinates):
1 N 0.000 0.500 0.000
2 N 0.500 0.000 0.000
3 S 0.000 0.000 0.500
4 Rb 0.500 0.500 0.500
5 Rh 0.000 0.000 0.000

Output
Total moment   0.13 Bohr magnetons per cell
Space-group type   P4/mmm, No. 123
Formation energy from raw total energies   792 meV per atom
D(E_F)   4.81 states/eV/f.u.
Uncorrected energy   -5.3284 eV/atom


8.
RbRhSeN2: optimized geometry, PBEsol.

abc: 4.141 4.141 6.180
angles: 90.00 90.00 90.00
Atoms (fractional coordinates):
1 N 0.500 0.000 0.000
2 N 0.000 0.500 0.000
3 Rh 0.500 0.500 0.500
4 Rb 0.000 0.000 0.000
5 Se 0.000 0.000 0.500

Output
Total moment   4.60 Bohr magnetons per cell
Space-group type   P4/mmm, No. 123
Formation energy from raw total energies   2904 meV per atom
D(E_F)   7.04 states/eV/f.u.
Uncorrected energy   -3.1097 eV/atom